This record from Alexandria via LeMat-Bulk describes Pr3NdF after structural relaxation. The functional is PBE-GGA.

As for the final energy: -0.1903 Ha/atom. As for the density of states at the Fermi level: 5.05 states/eV per cell.

Structure (POSCAR):
```
Pr3NdF
1.0
5.257 0.000 0.000
0.000 5.257 0.000
0.000 0.000 5.257
Pr Nd F
3 1 1
direct
0.000 0.500 0.000 Pr
0.500 0.000 0.000 Pr
0.000 0.000 0.500 Pr
0.500 0.500 0.500 Nd
0.000 0.000 0.000 F
```

This record from Alexandria via LeMat-Bulk describes La2ZrAlO after structural relaxation. The functional is PBE-GGA.

As for the final energy: -0.2434 Ha/atom. As for the density of states at the Fermi level: 4.30 states/eV per cell.

Structure (POSCAR):
```
La2ZrAlO
1.0
-3.493 -3.575 1.145
2.496 -1.043 4.356
-2.405 3.023 2.102
Zr La O Al
1 2 1 1
direct
0.000 0.000 0.500 Zr
0.000 0.500 0.000 La
0.500 0.000 0.000 La
0.000 0.000 0.000 O
0.500 0.500 0.500 Al
```

This record from Alexandria via LeMat-Bulk describes CaNi2Hg after structural relaxation. The functional is PBE-GGA.

The value obtained for the formation energy is 0.1504 eV per atom. As for the density of states at the Fermi level: 4.68 states/eV per cell. The energy above the lowest structure with this stoichiometry comes out at 242 meV per atom.

Structure (POSCAR):
```
CaNi2Hg
1.0
-1.612 2.276 3.473
1.814 -2.965 2.785
7.630 4.537 3.423
Ni Hg Ca
4 2 2
direct
0.875 0.054 0.750 Ni
0.946 0.625 0.250 Ni
0.375 0.196 0.750 Ni
0.804 0.125 0.250 Ni
0.000 0.000 0.000 Hg
0.750 0.250 0.500 Hg
0.500 0.500 0.000 Ca
0.250 0.750 0.500 Ca
```

This record from Alexandria via LeMat-Bulk describes NaTlZnGe after structural relaxation. The functional is PBE-GGA.

The value obtained for the formation energy is 0.0907 eV per atom. As for the density of states at the Fermi level: 1.63 states/eV per cell.

Structure (POSCAR):
```
NaTlZnGe
1.0
4.979 0.000 0.000
2.489 4.312 0.000
2.489 1.437 4.065
Ge Zn Na Tl
1 1 1 1
direct
0.500 0.500 0.500 Ge
0.250 0.250 0.250 Zn
0.750 0.750 0.750 Na
0.000 0.000 0.000 Tl
```